Compound: Mg3Zn
Source: the Open Quantum Materials Database
Functional: PBE
Structure: optimized geometry

Structure (CIF):
```
data_Mg3Zn
_chemical_formula_sum 'Mg12 Zn4'
_space_group_name_H-M_alt 'C m c m'
_space_group_IT_number 63
_space_group_name_Hall '-C 2c 2'
_cell_length_a 6.127
_cell_length_b 10.574
_cell_length_c 5.018
_cell_angle_alpha 90.00
_cell_angle_beta 90.00
_cell_angle_gamma 90.00
loop_
_atom_site_label
_atom_site_fract_x
_atom_site_fract_y
_atom_site_fract_z
Mg1 0.000 0.085 0.250
Mg2 0.244 0.339 0.250
Zn1 0.000 0.412 0.750
```

Results
Total DFT energy (no corrections) (eV/cell): -23.77